Record 1
{
  "formula": "K2HfFeRh",
  "functional": "PBE-GGA",
  "state": "relaxed",
  "vol_a3_per_atom": 24.2,
  "energy_ev_per_atom": -4.004,
  "lattice": [[-2.223, 4.258, -1.083], [-2.029, 0.100, 4.558], [3.911, 2.471, 1.687]],
  "species": ["Rh", "K", "K", "Hf", "Fe"],
  "fractional_positions": [[0.500, 0.500, 0.500], [0.000, 0.000, 0.500], [0.500, 0.000, 0.000], [0.000, 0.500, 0.000], [0.000, 0.000, 0.000]]
}

=====

Record 2
{
  "formula": "Li3Cr5H12",
  "functional": "PBE-GGA",
  "state": "relaxed",
  "vol_a3_per_atom": 7.7,
  "energy_ev_per_atom": -4.673,
  "lattice": [[9.303, 0.000, 0.000], [-3.101, 8.771, 0.000], [-3.101, -4.385, 7.596]],
  "species": ["H", "H", "H", "H", "Cr", "Li", "Li", "H", "H", "H", "H", "H", "H", "Cr", "H", "Cr", "H", "H", "Cr", "Cr", "H", "Li", "Cr", "H", "Li", "Cr", "Li", "H", "H", "Cr", "Cr", "Li", "H", "Li", "Li", "H", "H", "Cr", "H", "Cr", "Cr", "H", "H", "Li", "Li", "H", "H", "H", "H", "H", "H", "Cr", "Cr", "H", "Li", "H", "H", "Li", "H", "Cr", "H", "H", "H", "H", "Cr", "H", "Cr", "Cr", "H", "H", "Cr", "Cr", "H", "H", "H", "H", "H", "H", "H", "H"],
  "fractional_positions": [[0.635, 0.585, 0.930], [0.135, 0.705, 0.550], [0.155, 0.085, 0.950], [0.430, 0.295, 0.345], [0.000, 0.500, 0.000], [0.250, 0.125, 0.375], [0.750, 0.875, 0.625], [0.155, 0.070, 0.705], [0.550, 0.345, 0.915], [0.915, 0.845, 0.550], [0.450, 0.795, 0.865], [0.570, 0.705, 0.655], [0.950, 0.585, 0.155], [0.250, 0.375, 0.625], [0.050, 0.635, 0.705], [0.875, 0.250, 0.625], [0.295, 0.865, 0.950], [0.865, 0.295, 0.450], [0.375, 0.250, 0.125], [0.750, 0.125, 0.875], [0.430, 0.135, 0.585], [0.125, 0.875, 0.750], [0.500, 0.000, 0.000], [0.845, 0.915, 0.050], [0.125, 0.250, 0.875], [0.125, 0.375, 0.250], [0.875, 0.125, 0.250], [0.415, 0.050, 0.345], [0.205, 0.655, 0.070], [0.625, 0.750, 0.875], [0.000, 0.000, 0.000], [0.375, 0.625, 0.250], [0.795, 0.345, 0.930], [0.750, 0.375, 0.125], [0.625, 0.250, 0.375], [0.570, 0.865, 0.415], [0.345, 0.550, 0.415], [0.750, 0.625, 0.375], [0.295, 0.430, 0.845], [0.500, 0.500, 0.500], [0.000, 0.500, 0.500], [0.415, 0.365, 0.570], [0.205, 0.550, 0.635], [0.375, 0.750, 0.625], [0.250, 0.625, 0.875], [0.345, 0.795, 0.430], [0.635, 0.050, 0.205], [0.365, 0.950, 0.795], [0.705, 0.135, 0.050], [0.950, 0.365, 0.295], [0.070, 0.915, 0.365], [0.250, 0.875, 0.125], [0.625, 0.875, 0.250], [0.135, 0.430, 0.085], [0.875, 0.750, 0.125], [0.795, 0.450, 0.365], [0.550, 0.205, 0.135], [0.625, 0.375, 0.750], [0.585, 0.950, 0.655], [0.125, 0.750, 0.375], [0.930, 0.845, 0.795], [0.085, 0.930, 0.135], [0.705, 0.570, 0.155], [0.365, 0.415, 0.070], [0.500, 0.500, 0.000], [0.585, 0.635, 0.430], [0.875, 0.625, 0.750], [0.500, 0.000, 0.500], [0.450, 0.655, 0.085], [0.655, 0.450, 0.585], [0.000, 0.000, 0.500], [0.375, 0.125, 0.750], [0.050, 0.415, 0.845], [0.845, 0.930, 0.295], [0.070, 0.155, 0.205], [0.930, 0.085, 0.635], [0.865, 0.570, 0.915], [0.655, 0.205, 0.570], [0.915, 0.070, 0.865], [0.085, 0.155, 0.450]]
}

=====

Record 3
{
  "formula": "GdHfNiPt",
  "functional": "PBE-GGA",
  "state": "relaxed",
  "vol_a3_per_atom": 19.1,
  "energy_ev_per_atom": -9.600,
  "lattice": [[4.763, 0.000, 0.000], [2.381, 4.125, 0.000], [2.381, 1.375, 3.889]],
  "species": ["Hf", "Pt", "Gd", "Ni"],
  "fractional_positions": [[0.500, 0.500, 0.500], [0.750, 0.750, 0.750], [0.000, 0.000, 0.000], [0.250, 0.250, 0.250]]
}

=====

Record 4
{
  "formula": "CsCr3Pb",
  "functional": "PBE-GGA",
  "state": "relaxed",
  "vol_a3_per_atom": 34.8,
  "energy_ev_per_atom": -5.488,
  "lattice": [[-2.366, -4.932, -1.105], [2.045, -2.050, 4.770], [-4.622, 1.618, 2.676]],
  "species": ["Pb", "Cs", "Cr", "Cr", "Cr"],
  "fractional_positions": [[0.000, 0.000, 0.000], [0.500, 0.500, 0.500], [0.500, 0.000, 0.000], [0.000, 0.500, 0.000], [0.000, 0.000, 0.500]]
}

=====

Record 5
{
  "formula": "NaVPbSe4",
  "functional": "PBE-GGA",
  "state": "relaxed",
  "e_form_raw_ev_per_atom": -0.660,
  "vol_a3_per_atom": 28.2,
  "lattice": [[6.869, 0.000, -0.012], [0.000, 7.160, 0.000], [-2.710, 0.000, 8.023]],
  "species": ["Se", "Na", "V", "Se", "Pb", "Se", "Se", "Pb", "Se", "Se", "Se", "Se", "Na", "V"],
  "fractional_positions": [[0.998, 0.502, 0.763], [0.778, 0.750, 0.453], [0.769, 0.250, 0.694], [0.575, 0.250, 0.866], [0.777, 0.750, 0.948], [0.002, 0.498, 0.237], [0.400, 0.750, 0.580], [0.223, 0.250, 0.052], [0.600, 0.250, 0.420], [0.002, 0.002, 0.237], [0.425, 0.750, 0.134], [0.998, 0.998, 0.763], [0.222, 0.250, 0.547], [0.231, 0.750, 0.306]]
}

=====

Record 6
{
  "formula": "CsAgI2N",
  "functional": "PBE-GGA",
  "state": "relaxed",
  "e_form_raw_ev_per_atom": 0.179,
  "vol_a3_per_atom": 33.7,
  "lattice": [[6.242, 0.000, 0.000], [0.000, 6.242, 0.000], [0.000, 0.000, 4.320]],
  "species": ["Cs", "N", "I", "I", "Ag"],
  "fractional_positions": [[0.500, 0.500, 0.500], [0.000, 0.000, 0.500], [0.500, 0.000, 0.000], [0.000, 0.500, 0.000], [0.000, 0.000, 0.000]]
}

=====

Record 7
{
  "formula": "Ca5In3",
  "functional": "PBE-GGA",
  "state": "relaxed",
  "vol_a3_per_atom": 30.6,
  "energy_ev_per_atom": -2.642,
  "lattice": [[-1.671, 0.137, 3.060], [-7.536, 2.516, -4.229], [1.714, -8.736, 1.328]],
  "species": ["Ca", "Ca", "In", "Ca", "Ca", "Ca", "In", "In"],
  "fractional_positions": [[0.000, 0.667, 0.333], [0.000, 0.000, 0.248], [0.500, 0.631, 0.000], [0.000, 0.333, 0.667], [0.000, 0.248, 0.000], [0.000, 0.752, 0.752], [0.500, 0.369, 0.369], [0.500, 0.000, 0.631]]
}

=====

Record 8
{
  "formula": "Li5La2Zn5",
  "functional": "PBE-GGA",
  "state": "relaxed",
  "vol_a3_per_atom": 19.5,
  "energy_ev_per_atom": -2.346,
  "lattice": [[-0.097, 3.926, -2.381], [-5.353, -0.253, -0.199], [-0.536, 4.921, 8.137]],
  "species": ["Zn", "Zn", "Li", "Zn", "Li", "La", "Li", "Li", "Zn", "Li", "La", "Zn"],
  "fractional_positions": [[0.500, 0.000, 0.000], [0.000, 0.500, 0.667], [0.500, 0.750, 0.757], [0.000, 0.500, 0.333], [0.500, 0.500, 0.500], [0.000, 0.500, 0.000], [0.500, 0.250, 0.757], [0.500, 0.750, 0.243], [0.000, 0.000, 0.169], [0.500, 0.250, 0.243], [0.000, 0.000, 0.500], [0.000, 0.000, 0.831]]
}

=====

Record 9
{
  "formula": "LaTh2Rh",
  "functional": "PBE-GGA",
  "state": "relaxed",
  "vol_a3_per_atom": 29.1,
  "energy_ev_per_atom": -7.238,
  "lattice": [[-0.582, 0.534, 3.733], [5.151, -3.638, -0.628], [5.791, 8.247, -0.276]],
  "species": ["Th", "Rh", "La", "Th", "La", "Rh", "Th", "Th"],
  "fractional_positions": [[0.362, 0.723, 0.558], [0.205, 0.410, 0.250], [0.916, 0.831, 0.250], [0.638, 0.277, 0.058], [0.084, 0.169, 0.750], [0.795, 0.590, 0.750], [0.362, 0.723, 0.942], [0.638, 0.277, 0.442]]
}

=====

Record 10
{
  "formula": "Cd2SO4",
  "functional": "PBE-GGA",
  "state": "relaxed",
  "e_form_raw_ev_per_atom": -0.923,
  "vol_a3_per_atom": 17.1,
  "lattice": [[-1.722, 2.461, 3.620], [-4.034, -2.402, -0.286], [4.838, -3.731, 1.782]],
  "species": ["O", "O", "Cd", "O", "S", "Cd", "O"],
  "fractional_positions": [[0.236, 0.236, 0.841], [0.605, 0.605, 0.841], [0.250, 0.750, 0.500], [0.395, 0.764, 0.159], [0.500, 0.500, 0.000], [0.750, 0.250, 0.500], [0.764, 0.395, 0.159]]
}

=====

Record 11
{
  "formula": "La4CeEr3S8",
  "functional": "PBE-GGA",
  "state": "relaxed",
  "e_form_raw_ev_per_atom": -2.075,
  "vol_a3_per_atom": 23.1,
  "lattice": [[-2.196, -4.524, -6.245], [7.279, 1.122, -3.373], [-0.514, -2.925, 7.448]],
  "species": ["Er", "S", "S", "S", "S", "Er", "S", "S", "La", "La", "La", "Er", "S", "La", "S", "Ce"],
  "fractional_positions": [[0.500, 0.500, 0.500], [0.753, 0.270, 0.017], [0.737, 0.730, 0.983], [0.263, 0.270, 0.017], [0.742, 0.726, 0.484], [0.000, 0.500, 0.500], [0.258, 0.274, 0.516], [0.753, 0.270, 0.507], [0.500, 0.000, 0.000], [0.500, 0.000, 0.500], [0.000, 0.000, 0.500], [0.500, 0.500, 0.000], [0.247, 0.730, 0.493], [0.000, 0.000, 0.000], [0.247, 0.730, 0.983], [0.000, 0.500, 0.000]]
}

=====

Record 12
{
  "formula": "TlIn2P",
  "functional": "PBE-GGA",
  "state": "relaxed",
  "vol_a3_per_atom": 25.3,
  "energy_ev_per_atom": -3.081,
  "lattice": [[4.817, 0.018, 0.000], [-0.061, 4.816, 0.000], [0.000, 0.000, 4.360]],
  "species": ["P", "In", "In", "Tl"],
  "fractional_positions": [[0.500, 0.000, 0.500], [0.500, 0.500, 0.000], [0.000, 0.000, 0.000], [0.000, 0.500, 0.500]]
}

=====

Record 13
{
  "formula": "ScTeS",
  "functional": "PBE-GGA",
  "state": "relaxed",
  "e_form_raw_ev_per_atom": -1.220,
  "vol_a3_per_atom": 28.4,
  "lattice": [[3.987, 0.000, 0.000], [-1.993, 3.233, -1.212], [0.000, -4.223, 14.787]],
  "species": ["Te", "S", "Sc", "Sc", "Te", "S"],
  "fractional_positions": [[0.346, 0.693, 0.384], [0.026, 0.051, 0.142], [0.521, 0.041, 0.767], [0.479, 0.959, 0.233], [0.654, 0.307, 0.616], [0.974, 0.949, 0.858]]
}

=====

Record 14
{
  "formula": "Ce2HgN",
  "functional": "PBE-GGA",
  "state": "relaxed",
  "e_form_raw_ev_per_atom": -0.848,
  "vol_a3_per_atom": 22.0,
  "lattice": [[-1.019, -1.832, 2.852], [-1.151, -3.328, -0.353], [6.851, -4.442, 1.789]],
  "species": ["Ce", "Ce", "N", "Hg"],
  "fractional_positions": [[0.276, 0.276, 0.173], [0.057, 0.057, 0.828], [0.667, 0.667, 0.000], [0.500, 0.500, 0.500]]
}

=====

Record 15
{
  "formula": "Tb2Tm7Sc",
  "functional": "PBE-GGA",
  "state": "relaxed",
  "vol_a3_per_atom": 30.6,
  "energy_ev_per_atom": -4.513,
  "lattice": [[3.429, 0.000, 0.000], [0.000, 13.650, -4.669], [0.000, -10.325, 10.075]],
  "species": ["Tm", "Tb", "Tm", "Tm", "Tb", "Tm", "Tm", "Sc", "Tm", "Tm"],
  "fractional_positions": [[0.500, 0.659, 0.852], [0.500, 0.291, 0.709], [0.500, 0.341, 0.148], [0.500, 0.148, 0.341], [0.500, 0.709, 0.291], [0.500, 0.500, 0.500], [0.000, 0.184, 0.816], [0.000, 0.000, 0.000], [0.500, 0.852, 0.659], [0.000, 0.816, 0.184]]
}

=====

Record 16
{
  "formula": "LiPaCo2",
  "functional": "PBE-GGA",
  "state": "relaxed",
  "vol_a3_per_atom": 15.0,
  "energy_ev_per_atom": -6.445,
  "lattice": [[-4.016, -1.539, 0.904], [-0.475, -3.506, 2.607], [-1.678, 0.473, 4.034]],
  "species": ["Co", "Li", "Pa", "Co"],
  "fractional_positions": [[0.250, 0.250, 0.250], [0.500, 0.500, 0.500], [0.000, 0.000, 0.000], [0.750, 0.750, 0.750]]
}

=====

Record 17
{
  "formula": "Rb2ZrI6F",
  "functional": "PBE-GGA",
  "state": "relaxed",
  "e_form_raw_ev_per_atom": -1.115,
  "vol_a3_per_atom": 41.8,
  "lattice": [[8.838, 0.000, 0.000], [0.000, 8.838, 0.000], [4.419, 4.419, 5.351]],
  "species": ["F", "I", "Zr", "I", "Rb", "I", "Rb", "I", "I", "I"],
  "fractional_positions": [[0.500, 0.500, 0.000], [0.730, 0.730, 0.539], [0.000, 0.000, 0.000], [0.769, 0.231, 0.000], [0.250, 0.750, 0.500], [0.231, 0.231, 0.000], [0.750, 0.250, 0.500], [0.231, 0.769, 0.000], [0.769, 0.769, 0.000], [0.270, 0.270, 0.461]]
}

=====

Record 18
{
  "formula": "DyGePd5",
  "functional": "PBE-GGA",
  "state": "relaxed",
  "vol_a3_per_atom": 17.2,
  "energy_ev_per_atom": -5.771,
  "lattice": [[4.080, 0.000, 0.000], [0.000, 4.080, 0.000], [0.000, 0.000, 7.216]],
  "species": ["Pd", "Ge", "Dy", "Pd", "Pd", "Pd", "Pd"],
  "fractional_positions": [[0.500, 0.000, 0.793], [0.500, 0.500, 0.000], [0.000, 0.000, 0.500], [0.000, 0.500, 0.793], [0.500, 0.500, 0.500], [0.000, 0.500, 0.207], [0.500, 0.000, 0.207]]
}

=====

Record 19
{
  "formula": "LaCdFe",
  "functional": "PBE-GGA",
  "state": "relaxed",
  "vol_a3_per_atom": 29.9,
  "energy_ev_per_atom": -3.940,
  "lattice": [[5.027, 0.000, 0.000], [2.514, 4.354, 0.000], [2.514, 1.451, 4.105]],
  "species": ["Cd", "Fe", "La"],
  "fractional_positions": [[0.000, 0.000, 0.000], [0.500, 0.500, 0.500], [0.750, 0.750, 0.750]]
}

=====

Record 20
{
  "formula": "AcTb8Er2",
  "functional": "PBE-GGA",
  "state": "relaxed",
  "vol_a3_per_atom": 34.2,
  "energy_ev_per_atom": -4.445,
  "lattice": [[-5.408, -0.605, -0.857], [-1.251, 2.003, 10.075], [-1.343, 8.000, 6.425]],
  "species": ["Tb", "Tb", "Tb", "Ac", "Er", "Tb", "Tb", "Tb", "Tb", "Tb", "Er"],
  "fractional_positions": [[0.240, 0.547, 0.547], [0.760, 0.453, 0.453], [0.729, 0.406, 0.868], [0.000, 0.000, 0.000], [0.752, 0.285, 0.285], [0.729, 0.868, 0.406], [0.271, 0.132, 0.594], [0.271, 0.594, 0.132], [0.234, 0.191, 0.191], [0.766, 0.809, 0.809], [0.248, 0.715, 0.715]]
}

=====

Record 21
{
  "formula": "Zn2Hg",
  "functional": "PBE-GGA",
  "state": "relaxed",
  "vol_a3_per_atom": 18.8,
  "energy_ev_per_atom": -0.861,
  "lattice": [[-1.522, -1.735, -5.414], [-0.361, -4.116, -4.191], [-6.183, -1.976, 2.026]],
  "species": ["Zn", "Hg", "Zn", "Zn", "Zn", "Hg"],
  "fractional_positions": [[0.323, 0.323, 0.901], [0.284, 0.284, 0.303], [0.546, 0.546, 0.347], [0.680, 0.680, 0.664], [0.941, 0.941, 0.624], [0.059, 0.059, 0.995]]
}

=====

Record 22
{
  "formula": "Cr2SiBr2",
  "functional": "PBE-GGA",
  "state": "relaxed",
  "e_form_raw_ev_per_atom": 0.729,
  "vol_a3_per_atom": 23.1,
  "lattice": [[-1.626, -4.052, 5.014], [-4.675, 1.417, 4.510], [0.985, -0.057, -6.575]],
  "species": ["Cr", "Cr", "Si", "Br", "Br"],
  "fractional_positions": [[0.619, 0.619, 0.000], [0.381, 0.381, 0.000], [0.000, 0.000, 0.000], [0.250, 0.750, 0.500], [0.750, 0.250, 0.500]]
}